Computed, not measured: a relaxed LuPuZr crystal at the GGA-PBE level of DFT.

Output
excess energy over the best structure of this formula in the dataset = 0.0 meV/atom
formation enthalpy at 0 K = 0.112 eV per atom

Cell lengths 3.3213, 3.3213, 7.4409 Å; angles 102.90, 102.90, 90.00 degrees
Closest atoms and distances in Å follow each position.
Atoms (fractional coordinates):
1 Zr 0.3305 0.3305 0.6609  4 Pu 3.22, 4 Lu 3.30, 4 Zr 3.32
2 Lu 0.9950 0.9950 0.9901  4 Zr 3.30, 4 Lu 3.32, 4 Pu 3.46
3 Pu 0.6745 0.6745 0.3490  4 Zr 3.22, 4 Pu 3.32, 4 Lu 3.46


Computed, not measured: a relaxed AcPm6Hg2 crystal at the GGA-PBE level of DFT.

Output
excess energy over the best structure of this formula in the dataset = 0.0 meV/atom
formation enthalpy at 0 K = -0.200 eV per atom

Cell lengths 3.8615, 6.8313, 12.1262 Å; angles 75.22, 80.84, 73.58 degrees
Closest atoms and distances in Å follow each position.
Atoms (fractional coordinates):
1 Pm 0.6900 0.4931 0.1269  2 Hg 3.30, 5 Pm 3.56-3.65
2 Pm 0.9839 0.6937 0.3386  2 Hg 3.26
3 Pm 0.3100 0.5069 0.8731  2 Hg 3.30, 5 Pm 3.56-3.65
4 Pm 0.0161 0.3063 0.6614  2 Hg 3.26
5 Pm 0.6869 0.2090 0.4173  2 Hg 3.27, 5 Pm 3.56-3.66
6 Pm 0.3131 0.7910 0.5827  2 Hg 3.27, 5 Pm 3.56-3.66
7 Ac 0.0000 0.0000 0.0000  4 Hg 3.43
8 Hg 0.6529 0.9168 0.7774  6 Pm 3.26-3.30, 2 Ac 3.43
9 Hg 0.3471 0.0832 0.2226  6 Pm 3.26-3.30, 2 Ac 3.43


Computed, not measured: a relaxed LiV2Au crystal at the GGA-PBE level of DFT.

Output
formation enthalpy at 0 K = 0.504 eV per atom

Cell lengths 7.2224, 7.2224, 5.6246 Å; angles 50.06, 50.06, 90.00 degrees
Closest atoms and distances in Å follow each position.
Atoms (fractional coordinates):
1 V 0.8750 0.8788 0.7500  2 V 2.36, 2 Au 2.60, 2 Li 2.64
2 V 0.1212 0.6250 0.2500  2 V 2.36, 2 Au 2.60, 2 Li 2.64
3 V 0.3750 0.3712 0.7500  2 V 2.36, 2 Au 2.60, 2 Li 2.64
4 V 0.6288 0.1250 0.2500  2 V 2.36, 2 Au 2.60, 2 Li 2.64
5 Li 0.5000 0.5000 0.0000  2 Au 2.36, 4 V 2.64
6 Li 0.2500 0.7500 0.5000  2 Au 2.36, 4 V 2.64
7 Au 0.7500 0.2500 0.5000  2 Li 2.36, 4 V 2.60
8 Au 0.0000 0.0000 0.0000  2 Li 2.36, 4 V 2.60


Computed, not measured: a relaxed Tm6Ge2Te3As crystal at the GGA-PBE level of DFT.

Output
uncorrected formation energy = -1252 meV/atom

Cell lengths 4.1817, 8.4887, 9.4532 Å; angles 104.04, 102.78, 90.00 degrees
Closest atoms and distances in Å follow each position.
Atoms (fractional coordinates):
1 Tm 0.9912 0.7650 0.9824  1 Ge 2.82, 2 As 2.87, 3 Te 3.10-3.11
2 Tm 0.0088 0.2350 0.0176  1 Ge 2.82, 2 As 2.87, 3 Te 3.10-3.11
3 Tm 0.6738 0.5648 0.3476  3 Ge 2.86, 3 Te 3.11-3.13
4 Tm 0.6611 0.1034 0.3222  2 Ge 2.84, 1 As 2.88, 3 Te 3.12
5 Tm 0.3262 0.4352 0.6524  3 Ge 2.86, 3 Te 3.11-3.13
6 Tm 0.3389 0.8966 0.6778  2 Ge 2.84, 1 As 2.88, 3 Te 3.12
7 Te 0.8349 0.1663 0.6698  6 Tm 3.11-3.13
8 Te 0.5000 0.5000 0.0000  6 Tm 3.10-3.11
9 Te 0.1651 0.8337 0.3302  6 Tm 3.11-3.13
10 Ge 0.8335 0.6678 0.6670  6 Tm 2.82-2.86
11 Ge 0.1665 0.3322 0.3330  6 Tm 2.82-2.86
12 As 0.5000 0.0000 0.0000  6 Tm 2.87-2.88


no.,magnetic moment (μB/f.u.)
1,5.8
2,0.0
3,0.0
4,0.0